Record 1
PBE Ba2Bi2Pb3, optimized geometry; calculated formation energy = -394.8 meV per atom; E = -25.5 eV per formula unit; calculated density = 8.1 g/cm3; total magnetic moment = 0.00 μB/atom
1.0
2.349 -11.906 0.000
2.349 11.906 0.000
0.000 0.000 4.812
Ba Bi Pb
2 2 3
Cartesian
2.349 8.167 0.000
2.349 -8.167 0.000
2.349 4.845 2.406
2.349 -4.845 2.406
0.000 0.000 0.000
2.349 1.541 2.406
2.349 -1.541 2.406

Record 2
PBE BaBi4Pb12, optimized geometry; calculated formation energy = 66.6 meV per atom; E = -60.8 eV per formula unit; calculated density = 8.8 g/cm3; total magnetic moment = 0.00 μB/atom
1.0
-5.461 5.461 5.461
5.461 -5.461 5.461
5.461 5.461 -5.461
Ba Bi Pb
1 4 12
Cartesian
0.000 0.000 0.000
2.730 2.730 -2.730
2.730 -2.730 2.730
-2.730 2.730 2.730
2.730 2.730 2.730
3.895 0.000 1.599
7.026 0.000 1.599
5.461 3.862 -1.566
1.599 3.895 0.000
3.862 -1.566 5.461
5.461 3.862 1.566
0.000 1.599 3.895
1.599 7.026 0.000
3.862 1.566 5.461
0.000 1.599 7.026
-1.566 5.461 3.862
1.566 5.461 3.862

Record 3
PBE BaBi2Pb4, optimized geometry; calculated formation energy = -233.2 meV per atom; E = -26.2 eV per formula unit; calculated density = 9.0 g/cm3; total magnetic moment = 0.00 μB/atom
1.0
9.587 0.000 0.000
0.000 9.587 0.000
0.000 0.000 5.548
Ba Bi Pb
2 4 8
Cartesian
0.000 0.000 0.000
4.794 4.794 2.774
2.003 2.003 2.774
2.791 6.797 0.000
6.797 2.791 0.000
7.584 7.584 2.774
0.935 6.194 2.774
1.401 3.858 0.000
3.393 8.652 2.774
3.858 1.401 0.000
5.729 8.187 0.000
6.194 0.935 2.774
8.187 5.729 0.000
8.652 3.393 2.774

Record 4
PBE Ba3Bi2Pb2, optimized geometry; calculated formation energy = -625.3 meV per atom; E = -25.3 eV per formula unit; calculated density = 7.0 g/cm3; total magnetic moment = 0.00 μB/atom
1.0
6.550 -2.587 0.000
6.550 2.587 0.000
-2.785 0.000 8.650
Ba Bi Pb
3 2 2
Cartesian
0.000 0.000 0.000
0.450 0.000 5.494
9.865 0.000 3.155
4.195 0.000 5.621
6.120 0.000 3.029
4.063 0.000 0.452
6.252 0.000 8.198

Record 5
PBE Ba2BiPb, optimized geometry; calculated formation energy = -654.6 meV per atom; E = -14.1 eV per formula unit; calculated density = 7.3 g/cm3; total magnetic moment = 0.00 μB/atom
1.0
5.652 0.000 0.000
0.000 5.652 0.000
0.000 0.000 4.940
Ba Bi Pb
2 1 1
Cartesian
0.000 2.826 0.000
2.826 0.000 0.000
0.000 0.000 2.470
2.826 2.826 2.470

Record 6
PBE Ba4Bi7Pb5, optimized geometry; calculated formation energy = -386.5 meV per atom; E = -59.6 eV per formula unit; calculated density = 8.6 g/cm3; total magnetic moment = 0.00 μB/atom
1.0
-3.550 3.550 11.657
3.550 -3.550 11.657
3.550 3.550 -11.657
Ba Bi Pb
4 7 5
Cartesian
1.847 1.847 -2.679
1.702 -1.702 14.336
1.702 1.702 8.978
-1.702 1.702 14.336
3.550 0.000 0.000
1.876 -1.876 8.160
1.673 1.673 3.497
0.000 3.550 0.000
0.000 0.000 11.657
-1.876 1.876 8.160
1.876 1.876 15.153
0.000 0.000 0.000
0.000 0.000 5.821
3.550 0.000 5.828
0.000 3.550 5.828
0.000 0.000 17.493

Question: The highest E belongs to which entry?
Answer: Ba2BiPb

Question: Number 3 is which compound?
Answer: BaBi2Pb4